Compound: Li2CdCoO4
Source: Alexandria via LeMat-Bulk
Functional: PBE+U
Structure: relaxed

Geometry as POSCAR:
```
Li2CdCoO4
1.0
-0.8044 2.9656 4.4639
-3.4259 -3.5360 -2.2644
3.0674 -4.4402 -0.4937
Li Cd Co O
2 1 1 4
Direct
0.5000 0.7500 0.2500
0.5000 0.2500 0.7500
0.0000 0.0000 0.0000
0.0000 0.5000 0.5000
0.0000 0.1585 0.5876
0.5710 0.4124 0.4124
0.4290 0.8415 0.8415
0.0000 0.5876 0.1585
```

The calculation puts the uncorrected energy at -4.9975 eV/atom.